Below is a geometry-optimized CdHRh3 structure, with properties calculated at the GGA-PBE level.

excess energy over the best structure of this formula in the dataset: 41 meV per atom
crystal system: monoclinic
electronic total energy: -5.25 eV per atom
size of the total moment: 0.00 μB/f.u.

Cell: 4.897 5.388 5.738 Å, 59.94 90.00 90.00°
Positions (direct):
H: 0.616 0.148 0.953
H: 0.116 0.426 0.589
Rh: 0.775 0.279 0.161
Rh: 0.606 0.764 0.164
Rh: 0.267 0.278 0.914
Rh: 0.106 0.810 0.377
Rh: 0.276 0.295 0.380
Rh: 0.767 0.296 0.628
Cd: 0.101 0.792 0.895
Cd: 0.601 0.782 0.646